Model P:
## KTaCr2 (SCAN)

Data for KTaCr2 at its PBEsol-relaxed geometry.

```
KTaCr2
1.0
2.754 0.003 0.000
-1.128 2.513 0.000
0.000 0.000 10.012
K Cr Ta
1 2 1
Direct
0.000 0.000 0.517
0.000 0.000 0.976
0.500 0.500 0.815
0.500 0.500 0.191
```

Summary:
The volume comes out at 69 Å³ per cell. The calculation puts the total magnetic moment at 0.00 μB/cell.

---

Model Q:
## KTaCr2 (SCAN)

Data for KTaCr2 at its PBEsol-relaxed geometry.

```
KTaCr2
1.0
2.912 0.000 0.000
0.000 2.912 0.000
0.000 0.000 9.109
K Ta Cr
1 1 2
Direct
0.000 0.000 0.475
0.500 0.500 0.838
0.500 0.500 0.161
0.000 0.000 0.026
```

Summary:
The volume comes out at 77 Å³ per cell. The calculation puts the total magnetic moment at 1.67 μB/cell.

---

Which structure loses on stability? model P does.